## CuPdRhW (GGA-PBE)

Data for a relaxed CuPdRhW crystal.

Cell: 4.3527 4.3527 4.3527 Å, 60.00 60.00 60.00°
Last column: nearest neighbours and their distance in Å.
Atoms (fractional coordinates):
Cu 0.7500 0.7500 0.7500  4 Pd 2.67, 4 Rh 2.67
Rh 0.5000 0.5000 0.5000  4 W 2.67, 4 Cu 2.67
Pd 0.0000 0.0000 0.0000  4 Cu 2.67, 4 W 2.67
W 0.2500 0.2500 0.2500  4 Rh 2.67, 4 Pd 2.67

Values from the calculation:
Space group: F-43m, No. 216
M_tot: 0.00 μB per formula unit
ΔE_f: 0.46 eV per formula unit